# MgSc | Alexandria | GGA-PBEsol | optimized geometry
# ΔE_f ... 0.061 eV per atom
# DOS at the Fermi energy ... 9.3 states/eV per cell
# Size of the total moment ... 0.00 μB/cell
# Electronic total energy ... -0.1507 hartree per atom
data_MgSc
_chemical_formula_sum 'Mg4 Sc4'
_cell_length_a 4.501
_cell_length_b 4.501
_cell_length_c 9.061
_cell_angle_alpha 90.00
_cell_angle_beta 90.00
_cell_angle_gamma 90.00
_space_group_name_H-M_alt 'I 41/a m d'
_space_group_IT_number 141
loop_
_space_group_symop_operation_xyz
'x,y,z'
'-x,-y,-z'
'-y+1/4,x+3/4,z+1/4'
'y+1/4,-x+3/4,-z+1/4'
'-x+1/2,-y,z+1/2'
'x+1/2,y,-z+1/2'
'y+1/4,-x+1/4,z+3/4'
'-y+1/4,x+1/4,-z+3/4'
'x,-y,-z'
'-x,y,z'
'-y+1/4,-x+1/4,-z+3/4'
'y+1/4,x+1/4,z+3/4'
'-x+1/2,y,-z+1/2'
'x+1/2,-y,z+1/2'
'y+1/4,x+3/4,-z+1/4'
'-y+1/4,-x+3/4,z+1/4'
'x+1/2,y+1/2,z+1/2'
'-x+1/2,-y+1/2,-z+1/2'
'-y+3/4,x+1/4,z+3/4'
'y+3/4,-x+1/4,-z+3/4'
'-x,-y+1/2,z'
'x,y+1/2,-z'
'y+3/4,-x+3/4,z+1/4'
'-y+3/4,x+3/4,-z+1/4'
'x+1/2,-y+1/2,-z+1/2'
'-x+1/2,y+1/2,z+1/2'
'-y+3/4,-x+3/4,-z+1/4'
'y+3/4,x+3/4,z+1/4'
'-x,y+1/2,-z'
'x,-y+1/2,z'
'y+3/4,x+1/4,-z+3/4'
'-y+3/4,-x+1/4,z+3/4'
loop_
_atom_site_label
_atom_site_fract_x
_atom_site_fract_y
_atom_site_fract_z
Mg1 0.000 0.250 0.375
Sc1 0.000 0.250 0.875